No. 1
Material: SmNbRh2
Method: DFT, PBE
State: optimized geometry

Geometry as CIF:
```
data_SmNbRh2
_chemical_formula_sum 'Sm1 Nb1 Rh2'
_symmetry_space_group_name_H-M 'P 4/m m m'
_symmetry_Int_Tables_number 123
_symmetry_space_group_name_Hall '-P 4 2'
_cell_length_a 3.223
_cell_length_b 3.223
_cell_length_c 7.294
_cell_angle_alpha 90.00
_cell_angle_beta 90.00
_cell_angle_gamma 90.00
loop_
_atom_site_label
_atom_site_type_symbol
_atom_site_fract_x
_atom_site_fract_y
_atom_site_fract_z
Sm1 Sm 0.000 0.000 0.000
Nb1 Nb 0.000 0.000 0.500
Rh1 Rh 0.500 0.500 0.298
```

energy relative to the elements = -474 meV per atom
total moment = 0.00 μB/cell
DOS at the Fermi energy = 1.002 states/eV/atom
total DFT energy (no corrections) = -7.847 eV per atom


No. 2
Material: SmNbRh2
Method: DFT, PBE
State: optimized geometry

Geometry as CIF:
```
data_SmNbRh2
_chemical_formula_sum 'Sm3 Nb3 Rh6'
_symmetry_space_group_name_H-M 'R -3 m'
_symmetry_Int_Tables_number 166
_symmetry_space_group_name_Hall '-R 3 2"'
_cell_length_a 4.3741
_cell_length_b 4.3741
_cell_length_c 14.7955
_cell_angle_alpha 90.00
_cell_angle_beta 90.00
_cell_angle_gamma 120.00
loop_
_atom_site_label
_atom_site_type_symbol
_atom_site_fract_x
_atom_site_fract_y
_atom_site_fract_z
Sm1 Sm 0.0000 0.0000 0.0000
Nb1 Nb 0.0000 0.0000 0.5000
Rh1 Rh 0.0000 0.0000 0.2159
```

energy relative to the elements = -407 meV per atom
total moment = 0.00 μB/cell
DOS at the Fermi energy = 1.061 states/eV/atom
total DFT energy (no corrections) = -7.780 eV per atom


No. 3
Material: SmNbRh2
Method: DFT, PBE
State: optimized geometry

Geometry as CIF:
```
data_SmNbRh2
_chemical_formula_sum 'Sm1 Nb1 Rh2'
_symmetry_space_group_name_H-M 'P 4/m m m'
_symmetry_Int_Tables_number 123
_symmetry_space_group_name_Hall '-P 4 2'
_cell_length_a 4.900
_cell_length_b 4.900
_cell_length_c 3.085
_cell_angle_alpha 90.00
_cell_angle_beta 90.00
_cell_angle_gamma 90.00
loop_
_atom_site_label
_atom_site_type_symbol
_atom_site_fract_x
_atom_site_fract_y
_atom_site_fract_z
Sm1 Sm 0.000 0.000 0.000
Nb1 Nb 0.500 0.500 0.000
Rh1 Rh 0.000 0.500 0.500
```

energy relative to the elements = -352 meV per atom
total moment = 0.00 μB/cell
DOS at the Fermi energy = 1.220 states/eV/atom
total DFT energy (no corrections) = -7.725 eV per atom


No. 4
Material: NbSnRh
Method: DFT, PBE
State: optimized geometry

Geometry as CIF:
```
data_NbSnRh
_chemical_formula_sum 'Nb1 Sn1 Rh1'
_symmetry_space_group_name_H-M 'P -6 m 2'
_symmetry_Int_Tables_number 187
_symmetry_space_group_name_Hall 'P -6 2'
_cell_length_a 4.5471
_cell_length_b 4.5471
_cell_length_c 2.9743
_cell_angle_alpha 90.00
_cell_angle_beta 90.00
_cell_angle_gamma 120.00
loop_
_atom_site_label
_atom_site_type_symbol
_atom_site_fract_x
_atom_site_fract_y
_atom_site_fract_z
Nb1 Nb 0.0000 0.0000 0.0000
Sn1 Sn 0.3333 0.6667 0.5000
Rh1 Rh 0.6667 0.3333 0.5000
```

energy relative to the elements = -310 meV per atom
total moment = 0.00 μB/cell
DOS at the Fermi energy = 0.483 states/eV/atom
total DFT energy (no corrections) = -7.451 eV per atom